Arrangement w

BeHgBr4: optimized geometry, PBE.

Results
- ρ (Mg/m³) = 3.34

a b c (Å): 7.4325 7.4325 9.5319
angles (deg): 90.00 90.00 90.00
With the nearest neighbours (Å) after each atom.
Fractional coordinates of all 12 atoms:
Be 0.0000 0.5000 0.0000  4 Br 2.32
Be 0.5000 0.0000 0.5000  4 Br 2.32
Hg 0.0000 0.0000 0.0000  4 Br 2.71
Hg 0.0000 0.0000 0.5000  4 Br 2.71
Br 0.2268 0.2851 0.0000  1 Be 2.32
Br 0.2268 0.7149 0.0000  1 Be 2.32
Br 0.2851 0.2268 0.5000  1 Be 2.32
Br 0.2851 0.7732 0.5000  1 Be 2.32
Br 0.7149 0.2268 0.5000  1 Be 2.32
Br 0.7149 0.7732 0.5000  1 Be 2.32
Br 0.7732 0.2851 0.0000  1 Be 2.32
Br 0.7732 0.7149 0.0000  1 Be 2.32



Arrangement x

BeHgBr4: optimized geometry, PBE.

Results
- ρ (Mg/m³) = 4.85

a b c (Å): 6.3527 6.3527 6.3527
angles (deg): 60.00 60.00 60.00
With the nearest neighbours (Å) after each atom.
Fractional coordinates of all 6 atoms:
Be 0.0000 0.0000 0.0000  12 Br 3.73, 4 Hg 3.89
Hg 0.2500 0.2500 0.2500  12 Br 3.72, 4 Be 3.89
Br 0.1257 0.6248 0.6248  6 Br 3.17-3.18
Br 0.6248 0.1257 0.6248  6 Br 3.17-3.18
Br 0.6248 0.6248 0.1257  6 Br 3.17-3.18
Br 0.6248 0.6248 0.6248  6 Br 3.17-3.18



Quick ranking, most stable first: arrangement w, arrangement x.